Material: MnBi2HO6
Method: DFT, GGA+U
State: optimized geometry

POSCAR file:
```
MnBi2HO6
1.0
-3.4121 -4.2928 -2.3806
0.8378 -2.7394 3.7389
-7.4347 3.5392 4.2590
O Bi H Mn
12 4 2 2
Direct
0.3399 0.8038 0.3455
0.6091 0.2261 0.0000
0.8399 0.6962 0.8455
0.6601 0.1962 0.6545
0.3395 0.8026 0.6540
0.1605 0.3026 0.8460
0.3909 0.7739 0.0000
0.6605 0.1974 0.3460
0.8395 0.6974 0.1540
0.1091 0.2739 0.5000
0.1601 0.3038 0.1545
0.8909 0.7261 0.5000
0.0000 0.0001 0.3118
0.5000 0.4999 0.8118
0.0000 0.9999 0.6882
0.5000 0.5001 0.1882
0.0000 0.5000 0.5000
0.5000 0.0000 0.0000
0.5000 0.0000 0.5000
0.0000 0.5000 0.0000
```

Summary:
The calculation puts the calculated total energy at -0.43244 Ry per atom. The density of states at the Fermi level is 6.886 states/eV/cell.